Record 1
Below is Rb3Y3PuS8 after structural relaxation, with properties calculated at the PBE level.

abc: 8.0913 8.0917 9.1023
angles: 116.42 90.00 120.00
With the nearest neighbours (Å) after each atom.
Atoms (fractional coordinates):
S1 0.7746 0.5491 0.3140  1 Pu 2.71, 2 Y 2.77
S2 0.2254 0.4509 0.6860  1 Pu 2.71, 2 Y 2.77
S3 0.7746 0.0392 0.3140  1 Pu 2.71, 2 Y 2.77
Y1 0.0000 0.5000 0.5000  6 S 2.77
Rb1 0.0000 0.5000 0.0000  6 S 3.36-3.37
S4 0.2697 0.5393 0.3092  3 Y 2.77
Y2 0.5000 0.0000 0.5000  6 S 2.77
S5 0.7354 0.9608 0.6860  1 Pu 2.71, 2 Y 2.77
Y3 0.5000 0.5000 0.5000  6 S 2.77
S6 0.7303 0.4607 0.6908  3 Y 2.77
Rb2 0.5000 0.5000 0.0000  6 S 3.36-3.37
Rb3 0.0000 0.0000 0.0000  6 S 3.36-3.37
Pu1 0.0000 0.0000 0.5000  6 S 2.71
S7 0.2254 0.9608 0.6860  1 Pu 2.71, 2 Y 2.77
S8 0.2646 0.0392 0.3140  1 Pu 2.71, 2 Y 2.77

Computed properties:
E_tot: -6.417 eV per atom
formation energy (no corrections): -26.61 eV/f.u.

***

Record 2
Below is NdGaCu11 after structural relaxation, with properties calculated at the PBE level.

abc: 4.8691 6.5978 6.4823
angles: 82.31 67.94 69.13
With the nearest neighbours (Å) after each atom.
Atoms (fractional coordinates):
Cu1 0.5050 0.2245 0.7724  8 Cu 2.46-2.73, 1 Ga 2.48
Cu2 0.0172 0.3528 0.6394  8 Cu 2.47-2.73, 1 Ga 2.68
Cu3 0.0000 0.0000 0.5000  10 Cu 2.43-2.65
Cu4 0.5000 0.0000 0.5000  10 Cu 2.43-2.65
Cu5 0.9828 0.6472 0.3606  8 Cu 2.47-2.73, 1 Ga 2.68
Cu6 0.4950 0.7755 0.2276  8 Cu 2.46-2.73, 1 Ga 2.48
Cu7 0.0000 0.5000 0.0000  2 Ga 2.43, 8 Cu 2.52-2.61
Cu8 0.7226 0.7755 0.7724  8 Cu 2.46-2.73, 1 Ga 2.48
Cu9 0.3434 0.6472 0.6394  8 Cu 2.47-2.73, 1 Ga 2.68
Cu10 0.6566 0.3528 0.3606  8 Cu 2.47-2.73, 1 Ga 2.68
Nd1 0.0000 0.0000 0.0000  18 Cu 3.07-3.30, 2 Ga 3.33
Ga1 0.5000 0.5000 0.0000  10 Cu 2.43-2.68
Cu11 0.2774 0.2245 0.2276  8 Cu 2.46-2.73, 1 Ga 2.48

Computed properties:
E_tot: -4.175 eV per atom
E_form: -0.1094 eV/atom

***

Record 3
Below is CaLuZnHg after structural relaxation, with properties calculated at the PBE level.

abc: 5.1549 5.1549 5.1549
angles: 60.00 60.00 60.00
With the nearest neighbours (Å) after each atom.
Atoms (fractional coordinates):
Hg1 0.7500 0.7500 0.7500  4 Ca 3.16, 4 Lu 3.16
Lu1 0.0000 0.0000 0.0000  4 Hg 3.16, 4 Zn 3.16
Ca1 0.5000 0.5000 0.5000  4 Zn 3.16, 4 Hg 3.16
Zn1 0.2500 0.2500 0.2500  4 Lu 3.16, 4 Ca 3.16

Computed properties:
E_tot: -2.407 eV per atom
E_form: -0.3821 eV/atom

***

Record 4
Below is ErScCdHg after structural relaxation, with properties calculated at the PBE level.

abc: 5.1141 5.1141 5.1141
angles: 60.00 60.00 60.00
With the nearest neighbours (Å) after each atom.
Atoms (fractional coordinates):
Hg1 0.2500 0.2500 0.2500  4 Er 3.13, 4 Sc 3.13
Er1 0.5000 0.5000 0.5000  4 Cd 3.13, 4 Hg 3.13
Sc1 0.0000 0.0000 0.0000  4 Hg 3.13, 4 Cd 3.13
Cd1 0.7500 0.7500 0.7500  4 Er 3.13, 4 Sc 3.13

Computed properties:
E_tot: -3.397 eV per atom
E_form: -0.3696 eV/atom

***

Record 5
Below is PrNd2Hf after structural relaxation, with properties calculated at the PBE level.

abc: 3.4142 3.4142 12.5847
angles: 82.20 82.20 60.00
With the nearest neighbours (Å) after each atom.
Atoms (fractional coordinates):
Pr1 0.5000 0.5000 0.5000  6 Pr 3.41, 6 Nd 3.68
Nd1 0.0834 0.0834 0.7497  1 Hf 3.11, 6 Nd 3.41
Hf1 0.0000 0.0000 0.0000  2 Nd 3.11, 6 Hf 3.41
Nd2 0.9166 0.9166 0.2503  1 Hf 3.11, 6 Nd 3.41

Computed properties:
E_tot: -5.657 eV per atom
E_form: 0.4102 eV/atom
polymorph energy (0 for the lowest one): 215.6 meV per atom

***

Record 6
Below is LaSmEr3Tm after structural relaxation, with properties calculated at the PBE level.

abc: 5.6216 10.1562 7.1377
angles: 90.78 90.00 106.07
With the nearest neighbours (Å) after each atom.
Atoms (fractional coordinates):
La1 0.3554 0.7109 0.9692  1 Tm 3.03, 2 Er 3.17-3.30
La2 0.6446 0.2891 0.0308  1 Tm 3.03, 2 Er 3.17-3.30
Er1 0.4760 0.9519 0.2710  1 La 3.17, 2 Sm 3.17, 1 Tm 3.18, 1 Er 3.39
Er2 0.5240 0.0481 0.7290  1 La 3.17, 2 Sm 3.17, 1 Tm 3.18, 1 Er 3.39
Er3 0.2207 0.4413 0.2425  3 Tm 3.27-3.48, 3 La 3.30-3.51, 1 Sm 3.32, 3 Er 3.60-3.63
Er4 0.7793 0.5587 0.7575  3 Tm 3.27-3.48, 3 La 3.30-3.51, 1 Sm 3.32, 3 Er 3.60-3.63
Er5 0.1644 0.3288 0.7244  2 Tm 3.41, 2 La 3.59, 3 Er 3.60-3.63
Tm1 0.3486 0.6972 0.5441  1 La 3.03, 2 Er 3.18-3.27
Sm1 0.0513 0.1026 0.2736  3 Er 3.17-3.32
Er6 0.8356 0.6712 0.2756  2 Tm 3.41, 2 La 3.59, 3 Er 3.60-3.63
Tm2 0.6514 0.3028 0.4559  1 La 3.03, 2 Er 3.18-3.27
Sm2 0.9487 0.8974 0.7264  3 Er 3.17-3.32

Computed properties:
E_tot: -4.430 eV per atom
E_form: 0.2044 eV/atom